The following is a PBE+U calculation of crystalline MgCoCO4 at its relaxed geometry, from Alexandria.

Values from the calculation:
**Crystal system**: orthorhombic
**Spin magnetization**: 3.00 μB/f.u.
**Uncorrected energy**: -6.40 eV/atom

Geometry as POSCAR:
```
MgCoCO4
1.0
-2.711 2.752 3.933
2.711 -2.752 3.933
2.711 2.752 -3.933
Mg Co C O
2 2 2 8
Direct
0.000 0.000 0.000 Mg
0.500 0.000 0.500 Mg
0.500 0.000 0.000 Co
0.500 0.500 0.500 Co
0.130 0.380 0.750 C
0.870 0.620 0.250 C
0.196 0.732 0.464 O
0.230 0.263 0.534 O
0.230 0.696 0.966 O
0.233 0.268 0.964 O
0.767 0.732 0.036 O
0.770 0.304 0.034 O
0.770 0.737 0.466 O
0.804 0.268 0.536 O
```